1.
This record from Alexandria describes an optimized crystal structure of Ta2Te2Mo. The functional is PBE.

extended XYZ file:
```
5
Lattice="-0.967 3.682 0.739 -1.533 0.310 -3.548 -8.200 -0.390 1.390" Properties=species:S:1:pos:R:3 pbc="T T T"
Te -7.885 2.143 -0.644
Te -2.814 1.459 -0.776
Ta -5.491 0.958 -1.781
Ta -5.208 2.644 0.362
Mo 0.000 0.000 0.000
```

## Properties
- SG: I4/mmm, No. 139

***

2.
This record from Alexandria describes an optimized crystal structure of Li2Ac3Sm2Tl4. The functional is PBE.

extended XYZ file:
```
11
Lattice="-1.542 -4.965 -0.211 4.144 1.319 2.858 -9.184 2.332 12.240" Properties=species:S:1:pos:R:3 pbc="T T T"
Ac -6.893 1.750 9.187
Ac -2.290 0.582 3.053
Ac 0.000 0.000 0.000
Tl -5.502 -1.384 8.616
Tl -0.809 -2.575 2.361
Tl -1.080 0.069 6.271
Tl -5.773 1.261 12.525
Li 1.049 -0.471 3.434
Li -7.631 -0.843 11.453
Sm -3.564 -1.876 6.033
Sm -3.018 0.561 8.853
```

## Properties
- SG: P-3m1, No. 164
- E_form: -0.188 eV per atom

***

3.
This record from Alexandria describes an optimized crystal structure of ScCdGaCu. The functional is PBE.

extended XYZ file:
```
4
Lattice="-2.588 3.188 2.141 -1.061 -0.506 4.479 1.912 2.791 3.162" Properties=species:S:1:pos:R:3 pbc="T T T"
Sc -0.434 1.368 2.446
Ga 0.000 0.000 0.000
Cd -1.303 4.105 7.337
Cu -0.869 2.737 4.892
```

## Properties
- SG: F-43m, No. 216
- E_form: -0.264 eV per atom

***

4.
This record from Alexandria describes an optimized crystal structure of CoRuSeBr2. The functional is PBE.

extended XYZ file:
```
5
Lattice="-1.344 3.658 3.412 -4.171 -2.769 1.326 2.484 -2.163 3.298" Properties=species:S:1:pos:R:3 pbc="T T T"
Br -0.672 1.829 1.706
Br -2.086 -1.385 0.663
Se 1.242 -1.081 1.649
Ru 0.000 0.000 0.000
Co -1.516 -0.637 4.018
```

## Properties
- SG: P4/mmm, No. 123

***

5.
This record from Alexandria describes an optimized crystal structure of CsBa2LaBr. The functional is PBE.

extended XYZ file:
```
5
Lattice="6.813 0.000 0.000 0.000 5.931 0.000 0.000 0.000 6.813" Properties=species:S:1:pos:R:3 pbc="T T T"
Ba 3.407 0.000 0.000
Ba 0.000 0.000 3.407
Cs 0.000 0.000 0.000
Br 0.000 2.965 0.000
La 3.407 2.965 3.407
```

## Properties
- SG: P4/mmm, No. 123

***

6.
This record from Alexandria describes an optimized crystal structure of GaGe2Pb2. The functional is PBE.

extended XYZ file:
```
10
Lattice="-3.354 -5.265 3.066 1.600 -4.138 -5.356 4.369 -1.395 2.383" Properties=species:S:1:pos:R:3 pbc="T T T"
Pb 1.174 -7.680 -1.044
Pb -0.039 -6.259 2.011
Pb 2.654 -4.539 -1.918
Pb 1.441 -3.118 1.137
Ge -1.900 -7.185 -0.723
Ge -1.908 -3.873 1.231
Ge 0.146 -2.218 -1.566
Ge 0.154 -5.529 -3.521
Ga -0.877 -4.701 -1.145
Ga 0.000 0.000 0.000
```

## Properties
- SG: P4/mbm, No. 127
- E_form: 0.133 eV per atom

***

7.
This record from Alexandria describes an optimized crystal structure of USnIrRh. The functional is PBE.

extended XYZ file:
```
4
Lattice="-0.501 -3.784 2.834 3.496 -1.215 2.984 -0.558 0.595 4.684" Properties=species:S:1:pos:R:3 pbc="T T T"
Rh 0.000 0.000 0.000
Ir 1.218 -2.202 5.251
Sn 0.609 -1.101 2.625
U 1.827 -3.304 7.876
```

## Properties
- SG: F-43m, No. 216
- E_form: -0.395 eV per atom

***

8.
This record from Alexandria describes an optimized crystal structure of CaLa2Co. The functional is PBE.

extended XYZ file:
```
4
Lattice="10.044 -0.029 -0.017 9.247 3.922 -0.017 9.247 1.866 3.450" Properties=species:S:1:pos:R:3 pbc="T T T"
La 13.342 2.692 1.597
La 0.927 0.187 0.111
Co 21.404 4.319 2.561
Ca 7.135 1.440 0.854
```

## Properties
- SG: R-3m, No. 166
- E_form: -0.067 eV per atom

***

9.
This record from Alexandria describes an optimized crystal structure of BaCd3Sn2. The functional is PBE.

extended XYZ file:
```
12
Lattice="5.024 0.000 0.000 -2.512 9.219 0.295 0.000 -3.901 7.534" Properties=species:S:1:pos:R:3 pbc="T T T"
Ba 0.000 2.310 0.679
Ba 2.512 3.008 7.149
Sn 2.512 -0.458 1.396
Sn 0.000 0.973 5.425
Sn 2.512 4.345 2.403
Sn 0.000 5.776 6.432
Cd 0.000 -0.733 2.966
Cd 0.000 5.874 2.052
Cd 2.512 1.617 3.528
Cd 0.000 3.701 4.300
Cd 2.512 6.051 4.862
Cd 2.512 -0.556 5.776
```

## Properties
- SG: C2/m, No. 12
- E_form: -0.288 eV per atom

***

10.
This record from Alexandria describes an optimized crystal structure of LaAlAg2Ir. The functional is PBE.

extended XYZ file:
```
5
Lattice="-1.438 -3.701 3.574 2.213 -4.019 -3.271 4.698 0.569 2.480" Properties=species:S:1:pos:R:3 pbc="T T T"
Al 1.107 -2.009 -1.636
Ag 2.349 0.284 1.240
Ag -0.719 -1.851 1.787
Ir 2.736 -3.575 1.391
La 0.000 0.000 0.000
```

## Properties
- SG: P4/mmm, No. 123
- E_form: 1.948 eV per atom

***

11.
This record from Alexandria describes an optimized crystal structure of BaZrAs2. The functional is PBE.

extended XYZ file:
```
4
Lattice="4.083 0.000 0.000 2.042 3.536 0.000 2.042 1.179 7.600" Properties=species:S:1:pos:R:3 pbc="T T T"
Ba 4.083 2.357 3.865
As 2.042 1.179 6.076
As 2.042 1.179 1.498
Zr 6.125 3.536 7.561
```

## Properties
- SG: R3m, No. 160
- E_form: -1.034 eV per atom

***

12.
This record from Alexandria describes an optimized crystal structure of VPSe2. The functional is PBE.

extended XYZ file:
```
4
Lattice="1.883 0.000 8.357 -0.941 1.630 8.357 -0.941 -1.630 8.357" Properties=species:S:1:pos:R:3 pbc="T T T"
P 0.000 0.000 0.000
V 0.000 0.000 12.535
Se 0.000 0.000 22.497
Se 0.000 0.000 2.573
```

## Properties
- SG: R-3m, No. 166

***

no.,raw total energy (Ry/atom)
1,-0.544
2,-0.248
3,-0.283
4,-0.281
5,-0.139
6,-0.280
7,-0.608
8,-0.353
9,-0.176
10,-0.198
11,-0.439
12,-0.402